DFT (PBE) results for Ta3Mn12Nb5 after structural relaxation.

Fermi-level density of states = 1.104 states/eV/atom
M_tot = 96.860 μB/cell

Structure (POSCAR):
```
Ta3Mn12Nb5
1.0
12.453 0.000 0.000
-4.151 11.741 0.000
-4.151 -5.871 10.168
Ta Nb Mn
12 20 48
direct
0.750 0.375 0.125
0.875 0.750 0.125
0.375 0.750 0.625
0.250 0.125 0.375
0.875 0.125 0.250
0.375 0.625 0.250
0.625 0.375 0.750
0.125 0.875 0.750
0.750 0.875 0.625
0.625 0.250 0.375
0.125 0.250 0.875
0.250 0.625 0.875
0.125 0.375 0.250
0.000 0.500 0.000
0.000 0.000 0.000
0.375 0.250 0.125
0.500 0.000 0.500
0.500 0.500 0.000
0.125 0.750 0.375
0.750 0.125 0.875
0.750 0.625 0.375
0.375 0.125 0.750
0.625 0.875 0.250
0.500 0.500 0.500
0.500 0.000 0.000
0.000 0.000 0.500
0.250 0.375 0.625
0.250 0.875 0.125
0.000 0.500 0.500
0.875 0.250 0.625
0.625 0.750 0.875
0.875 0.625 0.750
0.732 0.138 0.071
0.339 0.571 0.434
0.929 0.362 0.268
0.571 0.232 0.138
0.595 0.732 0.661
0.929 0.566 0.161
0.339 0.768 0.405
0.066 0.905 0.138
0.566 0.929 0.661
0.732 0.595 0.161
0.768 0.429 0.362
0.839 0.934 0.071
0.138 0.732 0.571
0.362 0.434 0.095
0.095 0.934 0.362
0.405 0.138 0.566
0.095 0.161 0.232
0.429 0.661 0.066
0.839 0.905 0.268
0.138 0.405 0.066
0.362 0.929 0.768
0.566 0.638 0.405
0.934 0.839 0.571
0.768 0.339 0.905
0.434 0.362 0.595
0.066 0.161 0.429
0.232 0.661 0.095
0.161 0.095 0.732
0.638 0.071 0.232
0.862 0.595 0.934
0.571 0.339 0.934
0.595 0.862 0.434
0.905 0.839 0.768
0.905 0.066 0.638
0.862 0.268 0.429
0.161 0.066 0.929
0.638 0.566 0.905
0.434 0.071 0.339
0.268 0.405 0.839
0.232 0.571 0.638
0.934 0.095 0.862
0.661 0.232 0.595
0.429 0.768 0.862
0.071 0.434 0.839
0.405 0.268 0.339
0.071 0.638 0.732
0.661 0.429 0.566
0.268 0.862 0.929
```



DFT (PBE) results for TaMnNb after structural relaxation.

Fermi-level density of states = 0.551 states/eV/atom
M_tot = 0.000 μB/cell
Energy relative to the lowest polymorph listed for this composition = 0 meV/atom

Structure (POSCAR):
```
TaMnNb
1.0
-0.924 2.232 1.963
-2.748 0.143 -1.456
0.054 -4.588 2.774
Nb Mn Ta
1 1 1
direct
0.011 0.011 0.021
0.668 0.668 0.335
0.322 0.322 0.643
```



DFT (PBE) results for TaMnNbV after structural relaxation.

Fermi-level density of states = 1.067 states/eV/atom
M_tot = 0.000 μB/cell

Structure (POSCAR):
```
TaMnNbV
1.0
4.404 0.000 0.000
2.202 3.814 0.000
2.202 1.271 3.596
Nb Mn V Ta
1 1 1 1
direct
0.500 0.500 0.500
0.750 0.750 0.750
0.250 0.250 0.250
0.000 0.000 0.000
```



Taking the records one at a time from the top gives calculated formation energy values of 1.1501, -0.1024, -0.0664 eV/atom.